This record from the Alexandria database describes a geometry-optimized HoInAg4 structure. The functional is PBE-GGA.

Calculated values
Density ... 9.6 g/cm³
Formation enthalpy at 0 K ... -0.216 eV per atom

a b c (Å): 7.902 7.902 7.902
angles (deg): 90.00 90.00 90.00
Space group F-43m (No. 216)
Unique sites:
Ho  0.000  0.000  0.000
In  0.250  0.250  0.250
Ag  0.125  0.125  0.625